Version a
Material: B2OsPtF
Method: DFT, PBE
State: optimized geometry

abc: 3.8813 3.8813 4.0193
angles: 90.00 90.00 90.00
Last column: nearest neighbours and their distance in Å.
Space group P4/mmm (No. 123)
Asymmetric unit:
B (0.0000, 0.5000, 0.0000) x2  2 F 1.94
Os (0.0000, 0.0000, 0.5000) x1  4 Pt 2.74, 8 B 2.79
Pt (0.5000, 0.5000, 0.5000) x1  2 F 2.01
F (0.5000, 0.5000, 0.0000) x1  4 B 1.94, 2 Pt 2.01

Properties
Spin magnetization in μB/f.u.: 0.0
Mass density in g/cm³: 11.68
Crystal system: tetragonal

Version b
Material: B2OsPtF
Method: DFT, PBE
State: optimized geometry

abc: 3.9445 3.9445 3.9557
angles: 90.00 90.00 90.00
Last column: nearest neighbours and their distance in Å.
Space group P4/mmm (No. 123)
Asymmetric unit:
B (0.0000, 0.5000, 0.0000) x2  2 F 1.97
Os (0.0000, 0.0000, 0.5000) x1  2 F 1.98
Pt (0.5000, 0.5000, 0.5000) x1  4 Os 2.79, 8 B 2.79
F (0.0000, 0.0000, 0.0000) x1  4 B 1.97, 2 Os 1.98

Properties
Spin magnetization in μB/f.u.: 0.0
Mass density in g/cm³: 11.49
Crystal system: tetragonal

Stability comparison, relative energies in kJ/mol of atoms: version a 0.6; version b 0.0

Version a
Material: BPF3
Method: DFT, PBE
State: optimized geometry

abc: 3.8212 3.8212 3.8212
angles: 90.00 90.00 90.00
Last column: nearest neighbours and their distance in Å.
Space group Pm-3m (No. 221)
Asymmetric unit:
B (0.0000, 0.0000, 0.0000) x1  6 F 1.91
P (0.5000, 0.5000, 0.5000) x1  12 F 2.70
F (0.0000, 0.0000, 0.5000) x3  2 B 1.91

Properties
Spin magnetization in μB/f.u.: 1.9
Mass density in g/cm³: 2.94
Crystal system: cubic

Version b
Material: BPF3
Method: DFT, PBE
State: optimized geometry

abc: 4.1181 4.1181 4.1181
angles: 90.00 90.00 90.00
Last column: nearest neighbours and their distance in Å.
Space group Pm-3m (No. 221)
Asymmetric unit:
B (0.0000, 0.0000, 0.0000) x1  12 F 2.91
P (0.5000, 0.5000, 0.5000) x1  6 F 2.06
F (0.0000, 0.5000, 0.5000) x3  2 P 2.06

Properties
Spin magnetization in μB/f.u.: 0.8
Mass density in g/cm³: 2.35
Crystal system: cubic

Stability comparison, relative energies in kJ/mol of atoms: version a 7.2; version b 0.0

Version a
Material: BP2F
Method: DFT, PBE
State: optimized geometry

abc: 4.9539 4.9539 9.7488
angles: 90.00 90.00 90.00
Last column: nearest neighbours and their distance in Å.
Space group I-42d (No. 122)
Asymmetric unit:
B (0.0000, 0.0000, 0.0000) x4  4 P 1.94
P (0.1746, 0.2500, 0.1250) x8  2 B 1.94
F (0.0000, 0.0000, 0.5000) x4  4 P 2.37

Properties
Spin magnetization in μB/f.u.: 0.0
Mass density in g/cm³: 2.55
Crystal system: tetragonal

Version b
Material: BP2F
Method: DFT, PBE
State: optimized geometry

abc: 5.5464 5.5464 5.5464
angles: 90.00 90.00 90.00
Last column: nearest neighbours and their distance in Å.
Space group Fm-3m (No. 225)
Asymmetric unit:
B (0.0000, 0.0000, 0.0000) x4  8 P 2.40
P (0.2500, 0.2500, 0.2500) x8  4 F 2.40, 4 B 2.40
F (0.0000, 0.0000, 0.5000) x4  8 P 2.40

Properties
Spin magnetization in μB/f.u.: 0.0
Mass density in g/cm³: 3.57
Crystal system: cubic

Stability comparison, relative energies in kJ/mol of atoms: version a 0.0; version b 36.9